(1)
Here is a relaxed structure of Ta3TcW from Alexandria. Energies are from PBE.

Geometry as extended XYZ:
```
5
Lattice="4.718 0.000 0.000 0.000 4.718 0.000 0.000 0.000 4.718" Properties=species:S:1:pos:R:3 pbc="T T T"
Tc 0.000 0.000 0.000
W 2.359 2.359 2.359
Ta 0.000 2.359 0.000
Ta 0.000 0.000 2.359
Ta 2.359 0.000 0.000
```

Computed properties:
Energy above the most stable polymorph in this dataset (meV per atom): 1433
V (Å³/cell): 105
Total DFT energy (no corrections) (eV per atom): -10.210
Mass density (g/cm³): 13.04
Crystal system: cubic

(2)
Here is a relaxed structure of CdNiP2 from Alexandria. Energies are from PBE.

Geometry as extended XYZ:
```
4
Lattice="-1.831 2.106 -0.570 -2.059 -1.417 1.366 2.038 3.623 6.834" Properties=species:S:1:pos:R:3 pbc="T T T"
Cd 1.076 1.913 3.609
Ni -0.349 3.181 5.748
P 1.885 3.351 6.322
P -1.408 1.300 2.200
```

Computed properties:
V (Å³/cell): 65
Total DFT energy (no corrections) (eV per atom): -4.185
Mass density (g/cm³): 5.96
Crystal system: tetragonal

(3)
Here is a relaxed structure of Os2Br8Cl from Alexandria. Energies are from PBE.

Geometry as extended XYZ:
```
11
Lattice="-1.002 2.678 -4.233 -2.276 -9.590 -2.508 -9.146 -2.989 3.294" Properties=species:S:1:pos:R:3 pbc="T T T"
Os -1.921 -1.508 -0.559
Os -10.503 -8.394 -2.888
Br -6.809 -0.274 -1.696
Br -9.495 -5.901 1.525
Br -2.034 0.119 -2.544
Br -10.390 -10.021 -0.903
Br -2.929 -4.002 -4.972
Br -5.615 -9.628 -1.751
Br -3.742 -2.972 -1.051
Br -8.682 -6.930 -2.397
Cl 0.000 0.000 0.000
```

Computed properties:
V (Å³/cell): 463
Total DFT energy (no corrections) (eV per atom): -3.407
Mass density (g/cm³): 3.78
Crystal system: monoclinic

(4)
Here is a relaxed structure of K2RbH from Alexandria. Energies are from PBE.

Geometry as extended XYZ:
```
4
Lattice="4.371 0.000 0.000 2.186 3.786 0.000 2.186 1.262 11.603" Properties=species:S:1:pos:R:3 pbc="T T T"
K 2.186 1.262 9.972
K 2.186 1.262 1.632
Rb 4.371 2.524 5.789
H 4.371 2.524 0.011
```

Computed properties:
Energy above the most stable polymorph in this dataset (meV per atom): 6
V (Å³/cell): 192
Total DFT energy (no corrections) (eV per atom): -1.636
Mass density (g/cm³): 1.42
Crystal system: trigonal

(5)
Here is a relaxed structure of Mn2CrSi from Alexandria. Energies are from PBE.

Geometry as extended XYZ:
```
8
Lattice="6.423 0.000 0.000 0.000 6.423 0.000 3.211 3.211 2.565" Properties=species:S:1:pos:R:3 pbc="T T T"
Cr 0.000 0.000 0.000
Cr 6.423 3.211 1.283
Si 3.211 3.211 0.000
Si 3.211 6.423 1.283
Mn 4.885 1.606 0.641
Mn 1.537 4.817 0.641
Mn 4.817 4.748 1.924
Mn 8.028 8.097 1.924
```

Computed properties:
V (Å³/cell): 106
Total DFT energy (no corrections) (eV per atom): -7.959
Mass density (g/cm³): 5.96
Crystal system: tetragonal

(6)
Here is a relaxed structure of Sr2PrSn3Pd4 from Alexandria. Energies are from PBE.

Geometry as extended XYZ:
```
10
Lattice="4.718 0.000 0.000 0.000 4.718 0.000 0.000 0.000 11.321" Properties=species:S:1:pos:R:3 pbc="T T T"
Sr 2.359 0.000 2.541
Sr 0.000 2.359 8.780
Pr 2.359 2.359 5.661
Sn 0.000 0.000 5.661
Sn 2.359 0.000 10.006
Sn 0.000 2.359 1.315
Pd 2.359 2.359 0.000
Pd 0.000 0.000 0.000
Pd 2.359 0.000 7.360
Pd 0.000 2.359 3.961
```

Computed properties:
V (Å³/cell): 252
Total DFT energy (no corrections) (eV per atom): -4.840
Mass density (g/cm³): 7.24
Crystal system: tetragonal

(7)
Here is a relaxed structure of K2TaRh from Alexandria. Energies are from PBE.

Geometry as extended XYZ:
```
4
Lattice="3.880 0.000 0.000 0.000 3.880 0.000 0.000 0.000 6.030" Properties=species:S:1:pos:R:3 pbc="T T T"
K 0.000 0.000 0.000
K 1.940 1.940 0.000
Rh 1.940 0.000 3.015
Ta 0.000 1.940 3.015
```

Computed properties:
Energy above the most stable polymorph in this dataset (meV per atom): 563
V (Å³/cell): 91
Total DFT energy (no corrections) (eV per atom): -4.395
Mass density (g/cm³): 6.62
Crystal system: tetragonal

(8)
Here is a relaxed structure of K2Sb2O5 from Alexandria. Energies are from PBE.

Geometry as extended XYZ:
```
9
Lattice="-0.558 -0.644 -4.174 6.362 -1.660 1.580 -3.256 -5.637 1.305" Properties=species:S:1:pos:R:3 pbc="T T T"
K 2.506 -5.054 0.445
K 0.043 -2.887 -1.734
Sb -1.138 -5.647 1.024
Sb 3.687 -2.295 -2.313
O 3.635 -1.447 -0.262
O -1.086 -6.494 -1.026
O -0.172 -4.053 0.649
O 2.721 -3.888 -1.937
O 0.000 0.000 0.000
```

Computed properties:
V (Å³/cell): 177
Total DFT energy (no corrections) (eV per atom): -5.311
Mass density (g/cm³): 3.77
Crystal system: monoclinic

(9)
Here is a relaxed structure of K4Li from Alexandria. Energies are from PBE.

Geometry as extended XYZ:
```
5
Lattice="-5.297 -2.934 4.666 3.172 6.133 3.282 -3.270 2.047 -6.600" Properties=species:S:1:pos:R:3 pbc="T T T"
K -2.649 -1.467 2.333
K -2.698 2.623 0.674
K 1.586 3.066 1.641
K -1.635 1.024 -3.300
Li 0.000 0.000 0.000
```

Computed properties:
Energy above the most stable polymorph in this dataset (meV per atom): 10
V (Å³/cell): 344
Total DFT energy (no corrections) (eV per atom): -1.119
Mass density (g/cm³): 0.79
Crystal system: cubic

(10)
Here is a relaxed structure of Mg3IrF from Alexandria. Energies are from PBE.

Geometry as extended XYZ:
```
5
Lattice="-3.789 0.653 -1.751 -0.425 -4.155 -0.632 -1.820 -0.391 3.792" Properties=species:S:1:pos:R:3 pbc="T T T"
Mg -0.212 -2.078 -0.316
Mg -0.910 -0.195 1.896
Mg -1.894 0.327 -0.875
Ir -3.016 -1.946 0.705
F 0.000 0.000 0.000
```

Computed properties:
Energy above the most stable polymorph in this dataset (meV per atom): 0
V (Å³/cell): 75
Total DFT energy (no corrections) (eV per atom): -4.070
Mass density (g/cm³): 6.26
Crystal system: cubic

(11)
Here is a relaxed structure of MnSiOs2 from Alexandria. Energies are from PBE.

Geometry as extended XYZ:
```
4
Lattice="-8.109 -1.445 -0.113 -7.496 -2.438 2.391 -7.973 0.262 2.054" Properties=species:S:1:pos:R:3 pbc="T T T"
Mn -17.684 -2.716 3.250
Os -23.542 -3.616 4.326
Os -11.825 -1.816 2.173
Si -5.895 -0.905 1.083
```

Computed properties:
V (Å³/cell): 53
Total DFT energy (no corrections) (eV per atom): -9.242
Mass density (g/cm³): 14.41
Crystal system: trigonal

(12)
Here is a relaxed structure of Pm2Ho4ThSc from Alexandria. Energies are from PBE.

Geometry as extended XYZ:
```
8
Lattice="-1.050 -5.651 1.000 6.718 -0.086 6.567 -0.496 1.102 5.709" Properties=species:S:1:pos:R:3 pbc="T T T"
Pm -0.496 1.102 5.709
Pm -0.773 -2.275 3.355
Ho 4.607 0.772 9.201
Ho 0.565 -5.407 4.075
Ho 4.329 -2.605 6.843
Ho 0.843 -2.030 6.433
Th 3.111 0.508 6.138
Sc 2.834 -2.869 3.783
```

Computed properties:
V (Å³/cell): 251
Total DFT energy (no corrections) (eV per atom): -5.060
Mass density (g/cm³): 8.13
Crystal system: tetragonal